Entry 1:
Ba2CoTcN6 (GGA-PBE, relaxed); symmetry = C2/m, No. 12; DFT total energy = -0.4962 Ry/atom
1.0
5.644 0.000 0.000
-2.819 4.890 0.000
-2.819 -1.632 4.610
Ba Co N Tc
2 1 6 1
direct
0.000 0.750 0.250
0.000 0.250 0.750
0.500 0.500 0.500
0.498 0.747 0.250
0.002 0.250 0.251
0.501 0.251 0.252
0.499 0.749 0.748
0.998 0.750 0.749
0.502 0.253 0.750
0.500 0.000 0.000

Entry 2:
Lu2FeNi (GGA-PBE, relaxed); symmetry = F-43m, No. 216; polymorph energy (0 for the lowest one) = 0.000 eV/atom; calculated formation energy = 0.2113 eV per atom
1.0
2.316 1.337 3.783
-2.316 1.337 3.783
0.000 -2.675 3.783
Fe Lu Ni
1 2 1
direct
0.500 0.500 0.500
0.000 0.000 0.000
0.250 0.250 0.250
0.750 0.750 0.750

Entry 3:
HgPbSO (GGA-PBE, relaxed); symmetry = P4/nmm, No. 129; polymorph energy (0 for the lowest one) = 0.052 eV/atom
1.0
-3.735 1.318 0.366
-1.355 -3.422 -1.509
-0.545 -4.537 10.777
Hg O Pb S
2 2 2 2
direct
0.750 0.750 0.104
0.250 0.250 0.896
0.750 0.250 0.500
0.250 0.750 0.500
0.250 0.250 0.397
0.750 0.750 0.603
0.250 0.250 0.124
0.750 0.750 0.876

Entry 4:
LiGaAu2 (GGA-PBE, relaxed); symmetry = P6_3/mmc, No. 194; DFT total energy = -0.2334 Ry/atom
1.0
2.265 -3.923 0.000
2.265 3.923 0.000
0.000 0.000 7.863
Au Ga Li
4 2 2
direct
0.333 0.667 0.079
0.333 0.667 0.421
0.667 0.333 0.579
0.667 0.333 0.921
0.667 0.333 0.250
0.333 0.667 0.750
0.000 0.000 0.250
0.000 0.000 0.750

Entry 5:
AlCoBi2 (GGA-PBE, relaxed); symmetry = F-43m, No. 216; DFT total energy = -0.2995 Ry/atom
1.0
0.000 3.563 3.563
3.563 0.000 3.563
3.563 3.563 0.000
Al Bi Co
1 2 1
direct
0.500 0.500 0.500
0.000 0.000 0.000
0.750 0.750 0.750
0.250 0.250 0.250

Entry 6:
Al8W5 (GGA-PBE, relaxed); symmetry = R-3m, No. 166; polymorph energy (0 for the lowest one) = 0.000 eV/atom
1.0
-9.181 -2.379 0.129
-8.987 2.449 1.790
-8.801 1.461 -3.219
Al W
8 5
direct
0.589 0.085 0.085
0.085 0.589 0.085
0.348 0.348 0.348
0.915 0.915 0.411
0.085 0.085 0.589
0.652 0.652 0.652
0.915 0.411 0.915
0.411 0.915 0.915
0.000 0.000 0.000
0.169 0.169 0.169
0.457 0.457 0.457
0.543 0.543 0.543
0.831 0.831 0.831